Model i:
Compound: LaSmErCd
Source: Alexandria via LeMat-Bulk
Functional: PBE
Structure: relaxed

Its crystal system is tetragonal. The value obtained for the magnetic moment is 0.00 μB per cell.

It has space group P4mm (No. 99), with a = 3.674 Å, b = 3.674 Å, c = 9.088 Å, α = 90.00°, β = 90.00° and γ = 90.00°. The distinct sites, in fractional coordinates, are La at (0.000, 0.000, 0.000), Sm at (0.500, 0.500, 0.713), Er at (0.500, 0.500, 0.277) and Cd at (0.000, 0.000, 0.485).

=====

Model ii:
Compound: LaSmErCd
Source: Alexandria via LeMat-Bulk
Functional: PBE
Structure: relaxed

Its crystal system is cubic. The value obtained for the magnetic moment is 0.01 μB per cell.

It has space group F-43m (No. 216), with a = 7.878 Å, b = 7.878 Å, c = 7.878 Å, α = 90.00°, β = 90.00° and γ = 90.00°. The distinct sites, in fractional coordinates, are La at (0.000, 0.000, 0.000), Sm at (0.000, 0.000, 0.500), Er at (0.250, 0.250, 0.250) and Cd at (0.250, 0.250, 0.750).

=====

Stability check: which of them is most stable? model i.

=====

Model i:
Compound: LaErThCd
Source: Alexandria via LeMat-Bulk
Functional: PBE
Structure: relaxed

Its crystal system is tetragonal. The value obtained for the magnetic moment is 0.00 μB per cell.

It has space group P4mm (No. 99), with a = 3.633 Å, b = 3.633 Å, c = 9.077 Å, α = 90.00°, β = 90.00° and γ = 90.00°. The distinct sites, in fractional coordinates, are La at (0.000, 0.000, 0.000), Er at (0.000, 0.000, 0.468), Th at (0.500, 0.500, 0.726) and Cd at (0.500, 0.500, 0.255).

=====

Model ii:
Compound: LaErThCd
Source: Alexandria via LeMat-Bulk
Functional: PBE
Structure: relaxed

Its crystal system is cubic. The value obtained for the magnetic moment is 0.00 μB per cell.

It has space group F-43m (No. 216), with a = 7.874 Å, b = 7.874 Å, c = 7.874 Å, α = 90.00°, β = 90.00° and γ = 90.00°. The distinct sites, in fractional coordinates, are La at (0.000, 0.000, 0.000), Er at (0.250, 0.250, 0.250), Th at (0.000, 0.000, 0.500) and Cd at (0.250, 0.250, 0.750).

=====

Stability check: which of them is most stable? model i.

=====

Model i:
Compound: LaYErCd
Source: Alexandria via LeMat-Bulk
Functional: PBE
Structure: relaxed

Its crystal system is tetragonal. The value obtained for the magnetic moment is 0.00 μB per cell.

It has space group P4mm (No. 99), with a = 3.680 Å, b = 3.680 Å, c = 8.949 Å, α = 90.00°, β = 90.00° and γ = 90.00°. The distinct sites, in fractional coordinates, are La at (0.000, 0.000, 0.000), Y at (0.500, 0.500, 0.710), Er at (0.500, 0.500, 0.282) and Cd at (0.000, 0.000, 0.492).

=====

Model ii:
Compound: LaYErCd
Source: Alexandria via LeMat-Bulk
Functional: PBE
Structure: relaxed

Its crystal system is cubic. The value obtained for the magnetic moment is 0.33 μB per cell.

It has space group F-43m (No. 216), with a = 7.843 Å, b = 7.843 Å, c = 7.843 Å, α = 90.00°, β = 90.00° and γ = 90.00°. The distinct sites, in fractional coordinates, are La at (0.000, 0.000, 0.000), Y at (0.000, 0.000, 0.500), Er at (0.250, 0.250, 0.250) and Cd at (0.250, 0.250, 0.750).

=====

Stability check: which of them is most stable? model i.